Entry 1:
Ag2Os | the Alexandria database | PBE-GGA | optimized geometry; energy above the most stable polymorph in this dataset = 0.375 eV per atom; crystal system = orthorhombic; uncorrected energy = -4.82 eV/atom
1.0
-1.323 2.159 4.335
1.323 -2.159 4.335
1.323 2.159 -4.335
Ag Os
2 1
direct
0.336 0.336 0.000
0.664 0.664 0.000
0.000 0.000 0.000

***

Entry 2:
Ag2Os | the Alexandria database | PBE-GGA | optimized geometry; energy above the most stable polymorph in this dataset = 0.063 eV per atom; crystal system = trigonal; uncorrected energy = -5.13 eV/atom
1.0
-0.082 -2.393 -1.397
0.187 -0.015 2.766
-7.316 -0.039 0.495
Ag Os
2 1
direct
0.333 0.667 0.664
0.000 0.000 0.003
0.667 0.333 0.333

***

Entry 3:
AgOs | the Alexandria database | PBE-GGA | optimized geometry; energy above the most stable polymorph in this dataset = 0.591 eV per atom; crystal system = orthorhombic; uncorrected energy = -6.13 eV/atom
1.0
-3.294 3.347 0.987
-9.229 -10.455 4.653
2.871 0.690 7.245
Os Ag
16 16
direct
0.000 0.916 0.000
0.000 0.416 0.500
0.500 0.084 0.500
0.750 0.334 0.250
0.000 0.584 0.500
0.250 0.666 0.250
0.000 0.084 0.000
0.750 0.834 0.750
0.500 0.916 0.500
0.500 0.584 0.000
0.500 0.416 0.000
0.750 0.166 0.250
0.250 0.334 0.750
0.750 0.666 0.750
0.250 0.834 0.250
0.250 0.166 0.750
0.750 0.750 0.416
0.500 0.500 0.666
0.250 0.250 0.084
0.500 0.500 0.334
0.250 0.250 0.416
0.500 0.000 0.834
0.250 0.750 0.916
0.250 0.750 0.584
0.000 0.000 0.334
0.750 0.750 0.084
0.500 0.000 0.166
0.000 0.500 0.166
0.000 0.500 0.834
0.000 0.000 0.666
0.750 0.250 0.584
0.750 0.250 0.916

***

Entry 4:
Ag2Os | the Alexandria database | PBE-GGA | optimized geometry; energy above the most stable polymorph in this dataset = 0.444 eV per atom; crystal system = tetragonal; uncorrected energy = -4.75 eV/atom
1.0
-3.312 -2.930 -2.050
3.489 -3.261 -0.976
-0.423 -1.148 2.324
Ag Os
2 1
direct
0.500 0.000 0.500
0.000 0.500 0.500
0.000 0.000 0.000

***

Entry 5:
AgOs2 | the Alexandria database | PBE-GGA | optimized geometry; energy above the most stable polymorph in this dataset = 0.001 eV per atom; crystal system = trigonal; uncorrected energy = -8.05 eV/atom
1.0
-1.840 0.780 1.916
-0.768 -0.211 -2.651
-1.754 -6.695 1.041
Os Ag
2 1
direct
0.333 0.667 0.645
0.667 0.333 0.355
0.000 0.000 0.000

***

Entry 6:
AgOs2 | the Alexandria database | PBE-GGA | optimized geometry; energy above the most stable polymorph in this dataset = 0.335 eV per atom; crystal system = orthorhombic; uncorrected energy = -7.71 eV/atom
1.0
0.000 5.970 -1.845
-0.358 -3.689 5.031
3.950 0.112 0.363
Ag Os
2 4
direct
0.079 0.921 0.750
0.921 0.079 0.250
0.603 0.397 0.250
0.752 0.248 0.750
0.248 0.752 0.250
0.397 0.603 0.750

***

Entry 7:
AgOs2 | the Alexandria database | PBE-GGA | optimized geometry; energy above the most stable polymorph in this dataset = 1.191 eV per atom; crystal system = hexagonal; uncorrected energy = -6.86 eV/atom
1.0
-3.492 0.380 -5.404
2.247 -5.704 1.991
-3.388 -0.585 2.148
Os Ag
6 3
direct
0.000 0.236 0.000
0.565 0.000 0.500
0.000 0.565 0.500
0.435 0.435 0.500
0.236 0.000 0.000
0.764 0.764 0.000
0.667 0.333 0.000
0.000 0.000 0.500
0.333 0.667 0.000

***

Entry 8:
AgOs2 | the Alexandria database | PBE-GGA | optimized geometry; energy above the most stable polymorph in this dataset = 1.677 eV per atom; crystal system = cubic; uncorrected energy = -6.37 eV/atom
1.0
-1.424 -2.456 -5.447
-4.141 -3.632 2.720
-4.308 4.303 -0.814
Os Ag
8 4
direct
0.106 0.894 0.394
0.394 0.106 0.894
0.106 0.606 0.894
0.606 0.894 0.106
0.394 0.394 0.394
0.894 0.106 0.606
0.606 0.606 0.606
0.894 0.394 0.106
0.500 0.500 0.000
0.000 0.000 0.000
0.500 0.000 0.500
0.000 0.500 0.500

***

Entry 9:
AgOs | the Alexandria database | PBE-GGA | optimized geometry; energy above the most stable polymorph in this dataset = 0.000 eV per atom; crystal system = trigonal; uncorrected energy = -6.72 eV/atom
1.0
-2.179 0.376 1.703
1.325 -2.456 -0.049
5.836 3.011 6.800
Ag Os
2 2
direct
0.333 0.667 0.868
0.667 0.333 0.132
0.333 0.667 0.393
0.667 0.333 0.607

***

Entry 10:
AgOs | the Alexandria database | PBE-GGA | optimized geometry; energy above the most stable polymorph in this dataset = 0.047 eV per atom; crystal system = trigonal; uncorrected energy = -6.68 eV/atom
1.0
9.595 -0.005 -0.003
9.191 2.755 -0.003
9.191 1.345 2.404
Os Ag
2 2
direct
0.494 0.494 0.494
0.756 0.756 0.756
0.002 0.002 0.002
0.248 0.248 0.248

***

Entry 11:
AgOs | the Alexandria database | PBE-GGA | optimized geometry; energy above the most stable polymorph in this dataset = 0.293 eV per atom; crystal system = hexagonal; uncorrected energy = -6.43 eV/atom
1.0
-3.728 7.067 0.044
1.859 -3.580 6.897
3.348 1.766 0.014
Os Ag
6 6
direct
0.560 0.119 0.250
0.881 0.440 0.250
0.119 0.560 0.750
0.440 0.560 0.750
0.560 0.440 0.250
0.440 0.881 0.750
0.849 0.698 0.750
0.151 0.849 0.250
0.698 0.849 0.250
0.302 0.151 0.750
0.151 0.302 0.250
0.849 0.151 0.750

***

Entry 12:
AgOs2 | the Alexandria database | PBE-GGA | optimized geometry; energy above the most stable polymorph in this dataset = 0.321 eV per atom; crystal system = hexagonal; uncorrected energy = -7.73 eV/atom
1.0
2.955 2.068 2.465
-2.981 -2.587 1.873
3.642 -4.578 -0.527
Os Ag
4 2
direct
0.667 0.333 0.962
0.333 0.667 0.462
0.667 0.333 0.538
0.333 0.667 0.038
0.000 0.000 0.750
0.000 0.000 0.250